# 1
VASP calculation (PBEsol) on an optimized crystal structure of Lu4B6O15. Values from VASP.

Summary:
energy relative to the lowest polymorph listed for this composition: 113 meV per atom
SG: R3 (146)

Structure (Quantum ESPRESSO input):
```
&SYSTEM
  ibrav = 0, nat = 25, ntyp = 3
/
ATOMIC_SPECIES
Lu 174.97 Lu.upf
B 10.81 B.upf
O 16.00 O.upf
CELL_PARAMETERS angstrom
-4.437 -3.331 3.970
6.977 -0.139 3.774
-0.256 3.907 6.901
ATOMIC_POSITIONS angstrom
Lu 2.276 2.013 7.400
Lu 2.439 -0.650 9.255
Lu -0.027 -0.020 0.024
Lu 0.696 0.143 11.881
B -1.676 -2.188 4.255
B 2.598 -0.887 6.215
B -0.067 1.800 9.441
B 4.544 0.694 5.852
B -3.242 0.055 8.294
B 4.313 1.549 10.219
O 3.681 -0.358 5.512
O 0.646 0.682 9.806
O 4.310 1.603 6.857
O 0.386 2.502 8.348
O 5.222 2.518 9.858
O 1.997 -0.105 7.188
O 3.261 1.328 9.362
O -2.965 -1.748 4.551
O 2.119 -2.172 5.969
O -3.027 -0.265 9.633
O -0.910 -1.598 3.249
O -2.415 0.945 7.608
O 2.669 -0.651 11.389
O -1.387 0.661 11.865
O 5.669 0.888 5.082
```

=====

# 2
VASP calculation (PBEsol) on an optimized crystal structure of FePF2. Values from VASP.

Summary:
SG: R-3m (166)

Structure (Quantum ESPRESSO input):
```
&SYSTEM
  ibrav = 0, nat = 4, ntyp = 3
/
ATOMIC_SPECIES
Fe 55.84 Fe.upf
F 19.00 F.upf
P 30.97 P.upf
CELL_PARAMETERS angstrom
-0.971 0.080 -2.489
-2.589 -0.498 -0.442
-3.006 8.444 0.009
ATOMIC_POSITIONS angstrom
Fe -3.283 4.013 -1.461
F -2.374 5.464 -0.333
F -4.191 2.562 -2.589
P 0.000 0.000 0.000
```

=====

Here are the calculated DFT total energy numbers, same order: -8.55, -5.58 (eV per atom).
Here are the calculated formation energy (no corrections) numbers, same order: -2.932, -0.924 (eV/atom).
Here are the calculated density numbers, same order: 4.9, 3.8 (Mg/m³).